[1]
# K4Ag

K4Ag after structural relaxation (PBEsol, Alexandria).

abc: 7.0520 7.0520 7.0520
angles: 109.47 109.47 109.47
Fractional positions:
K1 0.0000 0.0000 0.5000
K2 0.0000 0.5000 0.0000
K3 0.5000 0.0000 0.0000
K4 0.5000 0.5000 0.5000
Ag1 0.0000 0.0000 0.0000

The space-group type is Im-3m, No. 229. As for the energy above the most stable polymorph in this dataset: 31.6 meV per atom. The spin magnetization is 0.00 μB per formula unit. The calculation puts the theoretical density at 1.63 g/cm³. For the formation energy, the calculation gives 126 meV/atom. The value obtained for the electronic total energy is -1.44 eV per atom.

[2]
# KAg

KAg after structural relaxation (PBEsol, Alexandria).

abc: 6.4364 6.4364 4.7867
angles: 90.00 90.00 137.09
Fractional positions:
K1 0.1466 0.8534 0.7500
K2 0.8534 0.1466 0.2500
Ag1 0.4456 0.5544 0.7500
Ag2 0.5544 0.4456 0.2500

The space-group type is Cmcm, No. 63. As for the energy above the most stable polymorph in this dataset: 41.9 meV per atom. The spin magnetization is 0.00 μB per formula unit. The calculation puts the theoretical density at 3.61 g/cm³. For the formation energy, the calculation gives 133 meV/atom. The value obtained for the electronic total energy is -2.09 eV per atom.

[3]
# KAg3

KAg3 after structural relaxation (PBEsol, Alexandria).

abc: 5.4290 5.4290 2.9136
angles: 90.00 90.00 110.38
Fractional positions:
K1 0.0000 0.0000 0.0000
Ag1 0.0000 0.5000 0.5000
Ag2 0.5000 0.0000 0.5000
Ag3 0.5000 0.5000 0.0000

The space-group type is Cmmm, No. 65. The spin magnetization is 0.00 μB per formula unit. The calculation puts the theoretical density at 7.48 g/cm³. For the formation energy, the calculation gives 299 meV/atom. The value obtained for the electronic total energy is -2.47 eV per atom.

[4]
# KAg3

KAg3 after structural relaxation (PBEsol, Alexandria).

abc: 8.1750 7.4529 6.1666
angles: 90.00 90.00 90.00
Fractional positions:
K1 0.0244 0.2500 0.1170
K2 0.4756 0.7500 0.6170
K3 0.5244 0.2500 0.3830
K4 0.9756 0.7500 0.8830
Ag1 0.1385 0.7500 0.3491
Ag2 0.1526 0.0637 0.5810
Ag3 0.1526 0.4363 0.5810
Ag4 0.3474 0.5637 0.0810
Ag5 0.3474 0.9363 0.0810
Ag6 0.3615 0.2500 0.8491
Ag7 0.6385 0.7500 0.1509
Ag8 0.6526 0.0637 0.9190
Ag9 0.6526 0.4363 0.9190
Ag10 0.8474 0.5637 0.4190
Ag11 0.8474 0.9363 0.4190
Ag12 0.8615 0.2500 0.6509

The space-group type is Pnma, No. 62. The spin magnetization is 0.00 μB per formula unit. The calculation puts the theoretical density at 6.41 g/cm³. For the formation energy, the calculation gives 122 meV/atom. The value obtained for the electronic total energy is -2.65 eV per atom.

[5]
# KAg

KAg after structural relaxation (PBEsol, Alexandria).

abc: 6.4315 6.4315 8.5620
angles: 129.50 129.50 45.88
Fractional positions:
K1 0.0000 0.0000 0.0000
K2 0.5548 0.5548 0.6989
K3 0.8568 0.8568 0.3037
Ag1 0.2266 0.2266 0.5995
Ag2 0.3199 0.3199 0.9997
Ag3 0.6261 0.6261 0.3995

The space-group type is Cm, No. 8. As for the energy above the most stable polymorph in this dataset: 30.9 meV per atom. The spin magnetization is 0.00 μB per formula unit. The calculation puts the theoretical density at 3.98 g/cm³. For the formation energy, the calculation gives 122 meV/atom. The value obtained for the electronic total energy is -2.10 eV per atom.

[6]
# KAg

KAg after structural relaxation (PBEsol, Alexandria).

abc: 8.4648 8.4648 8.4648
angles: 32.36 32.36 32.36
Fractional positions:
K1 0.0869 0.0869 0.0869
K2 0.9131 0.9131 0.9131
Ag1 0.3333 0.3333 0.3333
Ag2 0.6667 0.6667 0.6667

The space-group type is R-3m, No. 166. As for the energy above the most stable polymorph in this dataset: 0.1 meV per atom. The spin magnetization is 0.00 μB per formula unit. The calculation puts the theoretical density at 3.16 g/cm³. For the formation energy, the calculation gives 91 meV/atom. The value obtained for the electronic total energy is -2.13 eV per atom.

[7]
# KAg

KAg after structural relaxation (PBEsol, Alexandria).

abc: 3.7634 3.7634 9.6427
angles: 90.00 90.00 90.00
Fractional positions:
K1 0.2500 0.2500 0.2081
K2 0.7500 0.7500 0.7919
Ag1 0.2500 0.2500 0.5354
Ag2 0.7500 0.7500 0.4646

The space-group type is P4/nmm, No. 129. As for the energy above the most stable polymorph in this dataset: 60.4 meV per atom. The spin magnetization is 0.00 μB per formula unit. The calculation puts the theoretical density at 3.57 g/cm³. For the formation energy, the calculation gives 152 meV/atom. The value obtained for the electronic total energy is -2.07 eV per atom.

[8]
# K2Ag

K2Ag after structural relaxation (PBEsol, Alexandria).

abc: 16.3371 16.3371 16.3371
angles: 165.79 165.79 20.15
Fractional positions:
K1 0.3146 0.5646 0.7500
K2 0.4354 0.6854 0.7500
K3 0.5646 0.3146 0.2500
K4 0.6854 0.4354 0.2500
Ag1 0.1250 0.8750 0.2500
Ag2 0.8750 0.1250 0.7500

The space-group type is I4_1/amd, No. 141. The spin magnetization is 0.00 μB per formula unit. The calculation puts the theoretical density at 2.35 g/cm³. For the formation energy, the calculation gives 151 meV/atom. The value obtained for the electronic total energy is -1.71 eV per atom.